[1]
Here is SrCa2CrN4 after structural relaxation from the Alexandria database. Energies are from GGA-PBE.

The calculated density comes out at 3.4 g/cm³. The formation energy without anion corrections is -85.24 kJ per mole of atoms. The total energy comes out at -111.35 eV/cell. The value obtained for the calculated volume is 268 Å³/cell. As for the space group: Pmn2_1.

abc: 7.5852 6.4184 5.5098
angles: 90.00 90.00 90.00
Last column: nearest neighbours and their distance in Å.
Fractional positions:
Sr 0.0000 0.1348 0.0000  3 N 2.40-2.59
Sr 0.5000 0.8652 0.5000  3 N 2.40-2.59
Ca 0.2424 0.3301 0.5082  4 N 2.26-2.41
Ca 0.2576 0.6699 0.0082  4 N 2.26-2.41
Ca 0.7424 0.6699 0.0082  4 N 2.26-2.41
Ca 0.7576 0.3301 0.5082  4 N 2.26-2.41
Cr 0.0000 0.8117 0.5386  4 N 1.73-1.79
Cr 0.5000 0.1883 0.0386  4 N 1.73-1.79
N 0.0000 0.0874 0.4863  1 Cr 1.79
N 0.0000 0.7835 0.8515  1 Cr 1.73
N 0.1958 0.6902 0.4341  1 Cr 1.77
N 0.3042 0.3098 0.9341  1 Cr 1.77
N 0.5000 0.2165 0.3515  1 Cr 1.73
N 0.5000 0.9126 0.9863  1 Cr 1.79
N 0.6958 0.3098 0.9341  1 Cr 1.77
N 0.8042 0.6902 0.4341  1 Cr 1.77

[2]
Here is MnAlNi4 after structural relaxation from the Alexandria database. Energies are from GGA-PBE.

The calculated density comes out at 7.6 g/cm³. The total energy comes out at -75.22 eV/cell. The formation energy comes out at -262.1 meV per atom. The value obtained for the calculated volume is 138 Å³/cell. As for the space group: C2/m.

abc: 8.1042 3.4745 5.1840
angles: 90.00 108.52 90.00
Last column: nearest neighbours and their distance in Å.
Fractional positions:
Mn 0.0000 0.0000 0.0000  10 Ni 2.51-2.56, 2 Al 2.59
Mn 0.5000 0.5000 0.0000  10 Ni 2.51-2.56, 2 Al 2.59
Al 0.0000 0.0000 0.5000  10 Ni 2.52-2.57, 2 Mn 2.59
Al 0.5000 0.5000 0.5000  10 Ni 2.52-2.57, 2 Mn 2.59
Ni 0.1657 0.5000 0.3314  2 Mn 2.51, 3 Al 2.52-2.57, 7 Ni 2.52-2.61
Ni 0.1674 0.5000 0.8352  7 Ni 2.51-2.61, 3 Mn 2.51-2.56, 2 Al 2.53
Ni 0.3326 0.0000 0.1648  7 Ni 2.51-2.61, 3 Mn 2.51-2.56, 2 Al 2.53
Ni 0.3343 0.0000 0.6686  2 Mn 2.51, 3 Al 2.52-2.57, 7 Ni 2.52-2.61
Ni 0.6657 0.0000 0.3314  2 Mn 2.51, 3 Al 2.52-2.57, 7 Ni 2.52-2.61
Ni 0.6674 0.0000 0.8352  7 Ni 2.51-2.61, 3 Mn 2.51-2.56, 2 Al 2.53
Ni 0.8326 0.5000 0.1648  7 Ni 2.51-2.61, 3 Mn 2.51-2.56, 2 Al 2.53
Ni 0.8343 0.5000 0.6686  2 Mn 2.51, 3 Al 2.52-2.57, 7 Ni 2.52-2.61